# KBaCa2Ni (PBE-GGA, relaxed)
data_KBaCa2Ni
_chemical_formula_sum 'K1 Ba1 Ca2 Ni1'
_symmetry_space_group_name_H-M 'P 4/m m m'
_symmetry_Int_Tables_number 123
_symmetry_space_group_name_Hall '-P 4 2'
_cell_length_a 5.6476
_cell_length_b 5.6476
_cell_length_c 6.4352
_cell_angle_alpha 90.00
_cell_angle_beta 90.00
_cell_angle_gamma 90.00
loop_
_atom_site_label
_atom_site_type_symbol
_atom_site_fract_x
_atom_site_fract_y
_atom_site_fract_z
K1 K 0.0000 0.0000 0.0000
Ba1 Ba 0.5000 0.5000 0.0000
Ca1 Ca 0.0000 0.5000 0.5000
Ni1 Ni 0.0000 0.0000 0.5000
# **Energy above the most stable polymorph in this dataset**: 0.157 eV per atom
# **DFT formation energy**: 188.4 meV/atom
# **Total magnetization**: 0.000 μB per atom
# **Volume**: 41.05 Å³/atom



# KBaCa2P (PBE-GGA, relaxed)
data_KBaCa2P
_chemical_formula_sum 'K1 Ba1 Ca2 P1'
_symmetry_space_group_name_H-M 'P 4/m m m'
_symmetry_Int_Tables_number 123
_symmetry_space_group_name_Hall '-P 4 2'
_cell_length_a 5.7692
_cell_length_b 5.7692
_cell_length_c 6.5013
_cell_angle_alpha 90.00
_cell_angle_beta 90.00
_cell_angle_gamma 90.00
loop_
_atom_site_label
_atom_site_type_symbol
_atom_site_fract_x
_atom_site_fract_y
_atom_site_fract_z
K1 K 0.0000 0.0000 0.0000
Ba1 Ba 0.5000 0.5000 0.0000
Ca1 Ca 0.0000 0.5000 0.5000
P1 P 0.5000 0.5000 0.5000
# **DFT formation energy**: -398.0 meV/atom
# **Total magnetization**: 0.223 μB per atom
# **Volume**: 43.28 Å³/atom



# KBa2CaP (PBE-GGA, relaxed)
data_KBa2CaP
_chemical_formula_sum 'K1 Ba2 Ca1 P1'
_symmetry_space_group_name_H-M 'P 4/m m m'
_symmetry_Int_Tables_number 123
_symmetry_space_group_name_Hall '-P 4 2'
_cell_length_a 6.5047
_cell_length_b 6.5047
_cell_length_c 5.7649
_cell_angle_alpha 90.00
_cell_angle_beta 90.00
_cell_angle_gamma 90.00
loop_
_atom_site_label
_atom_site_type_symbol
_atom_site_fract_x
_atom_site_fract_y
_atom_site_fract_z
K1 K 0.0000 0.0000 0.0000
Ba1 Ba 0.0000 0.5000 0.5000
Ca1 Ca 0.5000 0.5000 0.0000
P1 P 0.5000 0.5000 0.5000
# **DFT formation energy**: -412.1 meV/atom
# **Total magnetization**: 0.003 μB per atom
# **Volume**: 48.78 Å³/atom



# KBaCa2Pd (PBE-GGA, relaxed)
data_KBaCa2Pd
_chemical_formula_sum 'K1 Ba1 Ca2 Pd1'
_symmetry_space_group_name_H-M 'P 4/m m m'
_symmetry_Int_Tables_number 123
_symmetry_space_group_name_Hall '-P 4 2'
_cell_length_a 5.8950
_cell_length_b 5.8950
_cell_length_c 6.2804
_cell_angle_alpha 90.00
_cell_angle_beta 90.00
_cell_angle_gamma 90.00
loop_
_atom_site_label
_atom_site_type_symbol
_atom_site_fract_x
_atom_site_fract_y
_atom_site_fract_z
K1 K 0.0000 0.0000 0.0000
Ba1 Ba 0.5000 0.5000 0.0000
Ca1 Ca 0.0000 0.5000 0.5000
Pd1 Pd 0.5000 0.5000 0.5000
# **Energy above the most stable polymorph in this dataset**: 0.000 eV per atom
# **DFT formation energy**: -240.7 meV/atom
# **Total magnetization**: 0.000 μB per atom
# **Volume**: 43.65 Å³/atom



# KBaCa2Pd (PBE-GGA, relaxed)
data_KBaCa2Pd
_chemical_formula_sum 'K1 Ba1 Ca2 Pd1'
_symmetry_space_group_name_H-M 'P 4/m m m'
_symmetry_Int_Tables_number 123
_symmetry_space_group_name_Hall '-P 4 2'
_cell_length_a 5.7528
_cell_length_b 5.7528
_cell_length_c 6.4519
_cell_angle_alpha 90.00
_cell_angle_beta 90.00
_cell_angle_gamma 90.00
loop_
_atom_site_label
_atom_site_type_symbol
_atom_site_fract_x
_atom_site_fract_y
_atom_site_fract_z
K1 K 0.0000 0.0000 0.0000
Ba1 Ba 0.5000 0.5000 0.0000
Ca1 Ca 0.0000 0.5000 0.5000
Pd1 Pd 0.0000 0.0000 0.5000
# **Energy above the most stable polymorph in this dataset**: 0.136 eV per atom
# **DFT formation energy**: -104.8 meV/atom
# **Total magnetization**: 0.000 μB per atom
# **Volume**: 42.71 Å³/atom



# KBaCa2Re (PBE-GGA, relaxed)
data_KBaCa2Re
_chemical_formula_sum 'K1 Ba1 Ca2 Re1'
_symmetry_space_group_name_H-M 'P 4/m m m'
_symmetry_Int_Tables_number 123
_symmetry_space_group_name_Hall '-P 4 2'
_cell_length_a 5.7419
_cell_length_b 5.7419
_cell_length_c 6.3703
_cell_angle_alpha 90.00
_cell_angle_beta 90.00
_cell_angle_gamma 90.00
loop_
_atom_site_label
_atom_site_type_symbol
_atom_site_fract_x
_atom_site_fract_y
_atom_site_fract_z
K1 K 0.0000 0.0000 0.0000
Ba1 Ba 0.5000 0.5000 0.0000
Ca1 Ca 0.0000 0.5000 0.5000
Re1 Re 0.0000 0.0000 0.5000
# **DFT formation energy**: 858.7 meV/atom
# **Total magnetization**: 0.243 μB per atom
# **Volume**: 42.00 Å³/atom



# KBaCa2Ru (PBE-GGA, relaxed)
data_KBaCa2Ru
_chemical_formula_sum 'K1 Ba1 Ca2 Ru1'
_symmetry_space_group_name_H-M 'P 4/m m m'
_symmetry_Int_Tables_number 123
_symmetry_space_group_name_Hall '-P 4 2'
_cell_length_a 5.8125
_cell_length_b 5.8125
_cell_length_c 5.9397
_cell_angle_alpha 90.00
_cell_angle_beta 90.00
_cell_angle_gamma 90.00
loop_
_atom_site_label
_atom_site_type_symbol
_atom_site_fract_x
_atom_site_fract_y
_atom_site_fract_z
K1 K 0.0000 0.0000 0.0000
Ba1 Ba 0.5000 0.5000 0.0000
Ca1 Ca 0.0000 0.5000 0.5000
Ru1 Ru 0.5000 0.5000 0.5000
# **DFT formation energy**: 198.4 meV/atom
# **Total magnetization**: 0.071 μB per atom
# **Volume**: 40.13 Å³/atom



# KBaCaSb2 (PBE-GGA, relaxed)
data_KBaCaSb2
_chemical_formula_sum 'K1 Ba1 Ca1 Sb2'
_symmetry_space_group_name_H-M 'P 4/m m m'
_symmetry_Int_Tables_number 123
_symmetry_space_group_name_Hall '-P 4 2'
_cell_length_a 5.9658
_cell_length_b 5.9658
_cell_length_c 5.5874
_cell_angle_alpha 90.00
_cell_angle_beta 90.00
_cell_angle_gamma 90.00
loop_
_atom_site_label
_atom_site_type_symbol
_atom_site_fract_x
_atom_site_fract_y
_atom_site_fract_z
K1 K 0.0000 0.0000 0.0000
Ba1 Ba 0.5000 0.5000 0.0000
Ca1 Ca 0.0000 0.0000 0.5000
Sb1 Sb 0.0000 0.5000 0.5000
# **Total magnetization**: 0.000 μB per atom
# **Volume**: 39.77 Å³/atom
# **Formation energy without anion corrections**: -0.308 eV per atom